Entry 1:
The following is a DFT calculation (PBE-GGA) of a geometry-optimized Sc2BeCr structure.

Calculated values
The formation energy comes out at 0.14 eV/atom. The energy is -25.4 eV/f.u.

Cell lengths 3.2294, 3.2294, 6.5453 Å; angles 90.00, 90.00, 90.00 degrees
Closest atoms and distances in Å follow each position.
Space group P4/mmm (No. 123)
Inequivalent atoms, fractional coordinates:
Sc: 0.0000 0.0000 0.2376 [2 per cell]  4 Be 2.76, 4 Cr 2.86
Be: 0.5000 0.5000 0.0000 [1 per cell]  8 Sc 2.76
Cr: 0.5000 0.5000 0.5000 [1 per cell]  8 Sc 2.86

=====

Entry 2:
The following is a DFT calculation (PBE-GGA) of a geometry-optimized ScBeCr2 structure.

Calculated values
The formation energy comes out at 0.27 eV/atom. The energy is -28.2 eV/f.u.

Cell lengths 3.1741, 4.0835, 4.2628 Å; angles 90.00, 90.00, 90.00 degrees
Closest atoms and distances in Å follow each position.
Space group Pmmm (No. 47)
Inequivalent atoms, fractional coordinates:
Sc: 0.0000 0.0000 0.0000 [1 per cell]  4 Be 2.59, 4 Cr 2.66
Be: 0.5000 0.5000 0.0000 [1 per cell]  4 Sc 2.59, 4 Cr 2.66
Cr: 0.0000 0.5000 0.5000 [1 per cell]  4 Cr 2.59, 4 Be 2.66
Cr: 0.5000 0.0000 0.5000 [1 per cell]  4 Cr 2.59, 4 Sc 2.66

=====

Entry 3:
The following is a DFT calculation (PBE-GGA) of a geometry-optimized ScBeCr structure.

Calculated values
The formation energy comes out at 0.06 eV/atom. The energy is -19.5 eV/f.u.

Cell lengths 4.1639, 9.5791, 4.3135 Å; angles 90.00, 90.00, 90.00 degrees
Closest atoms and distances in Å follow each position.
Space group Cmc2_1 (No. 36)
Inequivalent atoms, fractional coordinates:
Sc: 0.0000 0.2142 0.0000 [4 per cell]  3 Be 2.57-2.69, 1 Cr 2.83
Be: 0.0000 0.0538 0.5114 [4 per cell]  4 Cr 2.39-2.42, 2 Be 2.39, 2 Sc 2.57-2.61
Cr: 0.0000 0.4837 0.2690 [4 per cell]  2 Cr 2.18, 4 Be 2.39-2.42

=====

Entry 4:
The following is a DFT calculation (PBE-GGA) of a geometry-optimized ScBeCr2 structure.

Calculated values
The formation energy comes out at 0.34 eV/atom. The energy is -27.9 eV/f.u.

Cell lengths 2.9822, 4.2618, 4.3853 Å; angles 90.00, 97.54, 90.00 degrees
Closest atoms and distances in Å follow each position.
Space group P2/m (No. 10)
Inequivalent atoms, fractional coordinates:
Sc: 0.0000 0.0000 0.0000 [1 per cell]  2 Be 2.48, 4 Cr 2.77
Be: 0.5000 0.0000 0.5000 [1 per cell]  4 Cr 2.37, 2 Sc 2.48
Cr: 0.3293 0.5000 0.6943 [2 per cell]  1 Cr 2.10

=====

Entry 5:
The following is a DFT calculation (PBE-GGA) of a geometry-optimized ScBeCr structure.

Calculated values
The formation energy comes out at 0.14 eV/atom. The energy is -19.2 eV/f.u.

Cell lengths 8.5702, 4.2626, 6.0380 Å; angles 90.00, 128.10, 90.00 degrees
Closest atoms and distances in Å follow each position.
Space group C2/m (No. 12)
Inequivalent atoms, fractional coordinates:
Sc: 0.2460 0.0000 0.1836 [4 per cell]  4 Be 2.61-2.87, 3 Cr 2.66-2.81
Be: 0.0673 0.5000 0.2248 [4 per cell]  1 Be 2.20, 3 Cr 2.41-2.45
Cr: 0.0764 0.0000 0.4326 [4 per cell]  1 Cr 1.92

=====

Entry 6:
The following is a DFT calculation (PBE-GGA) of a geometry-optimized ScBeCr2 structure.

Calculated values
The formation energy comes out at 0.43 eV/atom. The energy is -27.6 eV/f.u.

Cell lengths 5.1025, 8.7038, 2.5460 Å; angles 90.00, 112.08, 90.00 degrees
Closest atoms and distances in Å follow each position.
Space group C2/m (No. 12)
Inequivalent atoms, fractional coordinates:
Sc: 0.0000 0.0000 0.0000 [2 per cell]  2 Sc 2.55, 4 Be 2.55-2.85, 4 Cr 2.60
Be: 0.0000 0.5000 0.0000 [2 per cell]  2 Be 2.55, 4 Sc 2.55-2.85, 4 Cr 2.60
Cr: 0.2500 0.2500 0.5000 [4 per cell]  6 Cr 2.55-2.85, 2 Be 2.60, 2 Sc 2.60

=====

Entry 7:
The following is a DFT calculation (PBE-GGA) of a geometry-optimized ScBeCr2 structure.

Calculated values
The formation energy comes out at 0.15 eV/atom. The energy is -28.7 eV/f.u.

Cell lengths 3.0670, 3.0670, 5.7914 Å; angles 90.00, 90.00, 90.00 degrees
Closest atoms and distances in Å follow each position.
Space group P4/mmm (No. 123)
Inequivalent atoms, fractional coordinates:
Sc: 0.0000 0.0000 0.0000 [1 per cell]  2 Be 2.90, 8 Cr 2.90, 4 Sc 3.07
Be: 0.0000 0.0000 0.5000 [1 per cell]  8 Cr 2.38
Cr: 0.5000 0.5000 0.3324 [2 per cell]  1 Cr 1.94

=====

Entry 8:
The following is a DFT calculation (PBE-GGA) of a geometry-optimized ScBeCr2 structure.

Calculated values
The formation energy comes out at 0.09 eV/atom. The energy is -28.9 eV/f.u.

Cell lengths 2.9541, 2.9562, 6.1166 Å; angles 90.00, 91.02, 90.00 degrees
Closest atoms and distances in Å follow each position.
Space group Pm (No. 6)
Inequivalent atoms, fractional coordinates:
Sc: 0.0000 0.0000 0.0000 [1 per cell]  4 Be 2.78-2.79, 6 Cr 2.80-3.07, 4 Sc 2.95-2.96
Be: 0.5077 0.5000 0.3022 [1 per cell]  5 Cr 2.40-2.42
Cr: 0.0139 0.0000 0.5014 [1 per cell]  4 Cr 2.35-2.45, 4 Be 2.42
Cr: 0.4935 0.5000 0.6939 [1 per cell]  4 Cr 2.35-2.45, 1 Be 2.40

=====

Entry 9:
The following is a DFT calculation (PBE-GGA) of a geometry-optimized ScBeCr structure.

Calculated values
The formation energy comes out at 0.16 eV/atom. The energy is -19.2 eV/f.u.

Cell lengths 3.1918, 4.9338, 11.0484 Å; angles 90.00, 90.00, 90.00 degrees
Closest atoms and distances in Å follow each position.
Space group Immm (No. 71)
Inequivalent atoms, fractional coordinates:
Sc: 0.0000 0.0000 0.2021 [4 per cell]  4 Be 2.73, 4 Cr 2.91
Be: 0.0000 0.5000 0.0970 [4 per cell]  1 Be 2.14
Cr: 0.0000 0.3044 0.5000 [4 per cell]  1 Cr 1.93

=====

Entry 10:
The following is a DFT calculation (PBE-GGA) of a geometry-optimized ScBeCr structure.

Calculated values
The formation energy comes out at 0.06 eV/atom. The energy is -19.5 eV/f.u.

Cell lengths 3.0464, 3.0464, 9.3679 Å; angles 90.00, 90.00, 90.00 degrees
Closest atoms and distances in Å follow each position.
Space group P4mm (No. 99)
Inequivalent atoms, fractional coordinates:
Sc: 0.0000 0.0000 0.0000 [1 per cell]  4 Be 2.78, 1 Cr 2.85, 4 Sc 3.05
Sc: 0.5000 0.5000 0.2875 [1 per cell]  1 Be 2.77, 4 Cr 2.82, 4 Sc 3.05
Be: 0.5000 0.5000 0.5828 [1 per cell]  1 Be 2.15, 8 Cr 2.35-2.40
Be: 0.5000 0.5000 0.8128 [1 per cell]  1 Be 2.15
Cr: 0.0000 0.0000 0.4822 [1 per cell]  1 Cr 2.00
Cr: 0.0000 0.0000 0.6958 [1 per cell]  1 Cr 2.00

=====

Entry 11:
The following is a DFT calculation (PBE-GGA) of a geometry-optimized ScBeCr structure.

Calculated values
The formation energy comes out at 0.19 eV/atom. The energy is -19.1 eV/f.u.

Cell lengths 8.0439, 4.2695, 5.2559 Å; angles 90.00, 103.01, 90.00 degrees
Closest atoms and distances in Å follow each position.
Space group Cm (No. 8)
Inequivalent atoms, fractional coordinates:
Sc: 0.0000 0.0000 0.0000 [2 per cell]  4 Be 2.53-2.62, 1 Cr 2.59
Sc: 0.2309 0.5000 0.3166 [2 per cell]  4 Cr 2.58-2.78, 2 Be 2.80
Be: 0.1055 0.0000 0.5628 [2 per cell]  1 Be 2.37, 5 Cr 2.43-2.58, 1 Sc 2.62
Be: 0.3086 0.0000 0.9679 [2 per cell]  1 Be 2.37, 3 Cr 2.48-2.53, 3 Sc 2.53-2.61
Cr: 0.1771 0.5000 0.7825 [2 per cell]  1 Cr 2.10
Cr: 0.4257 0.0000 0.5586 [2 per cell]  1 Cr 2.10

=====

Entry 12:
The following is a DFT calculation (PBE-GGA) of a geometry-optimized ScBeCr2 structure.

Calculated values
The formation energy comes out at 0.15 eV/atom. The energy is -28.7 eV/f.u.

Cell lengths 6.0527, 6.0527, 6.0527 Å; angles 90.00, 90.00, 90.00 degrees
Closest atoms and distances in Å follow each position.
Space group F-43m (No. 216)
Inequivalent atoms, fractional coordinates:
Sc: 0.0000 0.0000 0.0000 [4 per cell]  4 Cr 2.62, 4 Be 2.62
Be: 0.2500 0.2500 0.7500 [4 per cell]  4 Cr 2.62, 4 Sc 2.62
Cr: 0.0000 0.0000 0.5000 [4 per cell]  4 Cr 2.62, 4 Be 2.62
Cr: 0.2500 0.2500 0.2500 [4 per cell]  4 Cr 2.62, 4 Sc 2.62

=====

Entry 13:
The following is a DFT calculation (PBE-GGA) of a geometry-optimized Sc2BeCr structure.

Calculated values
The formation energy comes out at 0.28 eV/atom. The energy is -24.9 eV/f.u.

Cell lengths 4.0294, 4.0294, 8.4671 Å; angles 90.00, 90.00, 90.00 degrees
Closest atoms and distances in Å follow each position.
Space group I-4m2 (No. 119)
Inequivalent atoms, fractional coordinates:
Sc: 0.0000 0.0000 0.0000 [2 per cell]  4 Cr 2.85, 4 Be 2.92, 4 Sc 2.92
Sc: 0.0000 0.5000 0.2500 [2 per cell]  4 Be 2.85, 4 Cr 2.92, 4 Sc 2.92
Be: 0.0000 0.5000 0.7500 [2 per cell]  8 Sc 2.85-2.92, 4 Cr 2.92
Cr: 0.0000 0.0000 0.5000 [2 per cell]  8 Sc 2.85-2.92, 4 Be 2.92

=====

Entry 14:
The following is a DFT calculation (PBE-GGA) of a geometry-optimized ScBeCr structure.

Calculated values
The formation energy comes out at 0.27 eV/atom. The energy is -18.9 eV/f.u.

Cell lengths 4.1111, 4.1111, 3.1890 Å; angles 90.00, 90.00, 120.00 degrees
Closest atoms and distances in Å follow each position.
Space group P-6m2 (No. 187)
Inequivalent atoms, fractional coordinates:
Sc: 0.0000 0.0000 0.0000 [1 per cell]  6 Be 2.86, 6 Cr 2.86, 2 Sc 3.19
Be: 0.6667 0.3333 0.5000 [1 per cell]  3 Cr 2.37
Cr: 0.3333 0.6667 0.5000 [1 per cell]  3 Be 2.37